VASP calculation (PBE) on an optimized crystal structure of Er4Al2Cd.

```
data_Er4Al2Cd
_cell_length_a 5.0882
_cell_length_b 5.0882
_cell_length_c 24.5692
_cell_angle_alpha 90.00
_cell_angle_beta 90.00
_cell_angle_gamma 120.00
_symmetry_space_group_name_H-M 'R -3 m'
_symmetry_Int_Tables_number 166
_symmetry_space_group_name_Hall '-R 3 2"'
loop_
_atom_site_label
_atom_site_type_symbol
_atom_site_fract_x
_atom_site_fract_y
_atom_site_fract_z
_atom_site_occupancy
Er1 Er 0.0000 0.0000 0.1171 1
Er2 Er 0.0000 0.0000 0.3700 1
Al1 Al 0.0000 0.0000 0.2473 1
Cd1 Cd 0.0000 0.0000 0.5000 1
```

## Properties
Energy above the most stable polymorph in this dataset in meV/atom: 0
Volume in Å³ per atom: 26.23

VASP calculation (PBE) on an optimized crystal structure of ErAlCd.

```
data_ErAlCd
_cell_length_a 4.5198
_cell_length_b 4.5198
_cell_length_c 7.2846
_cell_angle_alpha 90.00
_cell_angle_beta 90.00
_cell_angle_gamma 90.00
_symmetry_space_group_name_H-M 'P 4/n m m'
_symmetry_Int_Tables_number 129
loop_
_symmetry_equiv_pos_as_xyz
'x,y,z'
'-x,-y,-z'
'-y+1/2,x,z'
'y+1/2,-x,-z'
'-x+1/2,-y+1/2,z'
'x+1/2,y+1/2,-z'
'y,-x+1/2,z'
'-y,x+1/2,-z'
'x+1/2,-y,-z'
'-x+1/2,y,z'
'-y,-x,-z'
'y,x,z'
'-x,y+1/2,-z'
'x,-y+1/2,z'
'y+1/2,x+1/2,-z'
'-y+1/2,-x+1/2,z'
loop_
_atom_site_label
_atom_site_type_symbol
_atom_site_fract_x
_atom_site_fract_y
_atom_site_fract_z
_atom_site_occupancy
Er1 Er 0.2500 0.7500 0.0000 1
Al1 Al 0.2500 0.2500 0.2957 1
Cd1 Cd 0.2500 0.2500 0.6724 1
```

## Properties
VASP energy in hartree per atom: -0.1128
Volume in Å³ per atom: 24.80

VASP calculation (PBE) on an optimized crystal structure of Er5Al3Cd.

```
data_Er5Al3Cd
_cell_length_a 8.9839
_cell_length_b 8.9839
_cell_length_c 6.4348
_cell_angle_alpha 90.00
_cell_angle_beta 90.00
_cell_angle_gamma 120.00
_symmetry_space_group_name_H-M 'P 63/m c m'
_symmetry_Int_Tables_number 193
_symmetry_space_group_name_Hall '-P 6c 2'
loop_
_atom_site_label
_atom_site_type_symbol
_atom_site_fract_x
_atom_site_fract_y
_atom_site_fract_z
_atom_site_occupancy
Er1 Er 0.0000 0.3009 0.2500 1
Er2 Er 0.3333 0.6667 0.0000 1
Al1 Al 0.0000 0.3640 0.7500 1
Cd1 Cd 0.0000 0.0000 0.0000 1
```

## Properties
VASP energy in hartree per atom: -0.1540
Volume in Å³ per atom: 24.99

VASP calculation (PBE) on an optimized crystal structure of Er6AlCd2.

```
data_Er6AlCd2
_cell_length_a 9.7777
_cell_length_b 9.8877
_cell_length_c 10.2437
_cell_angle_alpha 90.00
_cell_angle_beta 90.00
_cell_angle_gamma 90.00
_symmetry_space_group_name_H-M 'I m m m'
_symmetry_Int_Tables_number 71
_symmetry_space_group_name_Hall '-I 2 2'
loop_
_atom_site_label
_atom_site_type_symbol
_atom_site_fract_x
_atom_site_fract_y
_atom_site_fract_z
_atom_site_occupancy
Er1 Er 0.0000 0.1771 0.2406 1
Er2 Er 0.1733 0.5000 0.2627 1
Er3 Er 0.2437 0.3055 0.0000 1
Al1 Al 0.0000 0.0000 0.5000 1
Al2 Al 0.0000 0.5000 0.0000 1
Cd1 Cd 0.0000 0.3578 0.5000 1
Cd2 Cd 0.1403 0.0000 0.0000 1
```

## Properties
VASP energy in hartree per atom: -0.1407
Volume in Å³ per atom: 27.51

VASP calculation (PBE) on an optimized crystal structure of Er5Al2Cd.

```
data_Er5Al2Cd
_cell_length_a 5.2503
_cell_length_b 10.6124
_cell_length_c 15.8281
_cell_angle_alpha 90.00
_cell_angle_beta 90.00
_cell_angle_gamma 90.00
_symmetry_space_group_name_H-M 'C m c m'
_symmetry_Int_Tables_number 63
_symmetry_space_group_name_Hall '-C 2c 2'
loop_
_atom_site_label
_atom_site_type_symbol
_atom_site_fract_x
_atom_site_fract_y
_atom_site_fract_z
_atom_site_occupancy
Er1 Er 0.0000 0.0851 0.0898 1
Er2 Er 0.0000 0.3699 0.7500 1
Er3 Er 0.0000 0.3907 0.0688 1
Al1 Al 0.0000 0.2313 0.5872 1
Cd1 Cd 0.0000 0.3006 0.2500 1
```

## Properties
Energy above the most stable polymorph in this dataset in meV/atom: 201
Volume in Å³ per atom: 27.56

VASP calculation (PBE) on an optimized crystal structure of ErAl2Cd.

```
data_ErAl2Cd
_cell_length_a 4.4834
_cell_length_b 6.8475
_cell_length_c 5.9519
_cell_angle_alpha 90.00
_cell_angle_beta 112.05
_cell_angle_gamma 90.00
_symmetry_space_group_name_H-M 'P 1 21/m 1'
_symmetry_Int_Tables_number 11
_symmetry_space_group_name_Hall '-P 2yb'
loop_
_atom_site_label
_atom_site_type_symbol
_atom_site_fract_x
_atom_site_fract_y
_atom_site_fract_z
_atom_site_occupancy
Er1 Er 0.0765 0.2500 0.1531 1
Al1 Al 0.3873 0.0561 0.7754 1
Cd1 Cd 0.2123 0.7500 0.4235 1
```

## Properties
VASP energy in hartree per atom: -0.1290
Volume in Å³ per atom: 21.17

VASP calculation (PBE) on an optimized crystal structure of Er4AlCd2.

```
data_Er4AlCd2
_cell_length_a 5.1298
_cell_length_b 5.1298
_cell_length_c 24.9999
_cell_angle_alpha 90.00
_cell_angle_beta 90.00
_cell_angle_gamma 120.00
_symmetry_space_group_name_H-M 'R -3 m'
_symmetry_Int_Tables_number 166
_symmetry_space_group_name_Hall '-R 3 2"'
loop_
_atom_site_label
_atom_site_type_symbol
_atom_site_fract_x
_atom_site_fract_y
_atom_site_fract_z
_atom_site_occupancy
Er1 Er 0.0000 0.0000 0.1217 1
Er2 Er 0.0000 0.0000 0.3737 1
Al1 Al 0.0000 0.0000 0.5000 1
Cd1 Cd 0.0000 0.0000 0.2476 1
```

## Properties
VASP energy in hartree per atom: -0.1307
Volume in Å³ per atom: 27.13

VASP calculation (PBE) on an optimized crystal structure of ErAlCd11.

```
data_ErAlCd11
_cell_length_a 5.8868
_cell_length_b 14.0842
_cell_length_c 7.5621
_cell_angle_alpha 90.00
_cell_angle_beta 112.41
_cell_angle_gamma 90.00
_symmetry_space_group_name_H-M 'C 1 2/m 1'
_symmetry_Int_Tables_number 12
_symmetry_space_group_name_Hall '-C 2y'
loop_
_atom_site_label
_atom_site_type_symbol
_atom_site_fract_x
_atom_site_fract_y
_atom_site_fract_z
_atom_site_occupancy
Er1 Er 0.0000 0.0000 0.0000 1
Al1 Al 0.0000 0.5000 0.5000 1
Cd1 Cd 0.0000 0.0000 0.5000 1
Cd2 Cd 0.1017 0.3953 0.2130 1
Cd3 Cd 0.1809 0.1734 0.3530 1
Cd4 Cd 0.2500 0.2500 0.0000 1
```

## Properties
VASP energy in hartree per atom: -0.0531
Volume in Å³ per atom: 22.29